1.
Entry from the Alexandria database: a relaxed structure of K3SbN (PBE).

a b c (Å): 5.558 5.558 5.558
angles (deg): 90.00 90.00 90.00
Space group Pm-3m (No. 221)
Symmetry-distinct sites (fractional):
1 K 0.000 0.000 0.500 (multiplicity 3)
2 Sb 0.500 0.500 0.500 (multiplicity 1)
3 N 0.000 0.000 0.000 (multiplicity 1)

Summary:
The value obtained for the total energy is -14.0 eV/cell. The density of states at the Fermi level comes out at 6.68 states/eV/f.u. The crystal system is cubic.



2.
Entry from the Alexandria database: a relaxed structure of ZnCo2Ir (PBE).

a b c (Å): 2.633 4.033 4.924
angles (deg): 90.00 105.37 90.00
Space group Pm (No. 6)
Symmetry-distinct sites (fractional):
1 Zn 0.000 0.000 0.000 (multiplicity 1)
2 Co 0.611 0.500 0.222 (multiplicity 1)
3 Co 0.737 0.000 0.475 (multiplicity 1)
4 Ir 0.346 0.500 0.695 (multiplicity 1)

Summary:
The value obtained for the total energy is -24.2 eV/cell. The density of states at the Fermi level comes out at 4.72 states/eV/f.u. The crystal system is monoclinic.



3.
Entry from the Alexandria database: a relaxed structure of RbPrSe2O8 (PBE).

a b c (Å): 5.6970 5.6970 8.7425
angles (deg): 90.00 90.00 120.00
Space group P-3 (No. 147)
Symmetry-distinct sites (fractional):
1 Rb 0.0000 0.0000 0.0000 (multiplicity 1)
2 Pr 0.0000 0.0000 0.5000 (multiplicity 1)
3 Se 0.3333 0.6667 0.7400 (multiplicity 2)
4 O 0.1027 0.3612 0.6718 (multiplicity 6)
5 O 0.3333 0.6667 0.9279 (multiplicity 2)

Summary:
The value obtained for the total energy is -70.6 eV/cell. The density of states at the Fermi level comes out at 0.00 states/eV/f.u. The crystal system is trigonal.